Computed, not measured: PrDyH2Br4 after structural relaxation at the PBE level of DFT.

For the total moment, the calculation gives 0.00 Bohr magnetons per cell. The value obtained for the total DFT energy (no corrections) is -34.9 eV for the cell shown.

It has space group P-6m2 (No. 187), with a = 3.9361 Å, b = 3.9361 Å, c = 14.8897 Å, α = 90.00°, β = 90.00° and γ = 120.00°. The inequivalent atoms are Pr at (0.0000, 0.0000, 0.0000), Dy at (0.0000, 0.0000, 0.5000), H at (0.3333, 0.6667, 0.0000), H at (0.6667, 0.3333, 0.5000), Br at (0.3333, 0.6667, 0.3738) and Br at (0.6667, 0.3333, 0.1338).



Computed, not measured: BaZn3Pt after structural relaxation at the PBE level of DFT.

For the total moment, the calculation gives 0.01 Bohr magnetons per cell. The value obtained for the total DFT energy (no corrections) is -14.0 eV for the cell shown. Its energy above the most stable polymorph in this dataset is 13 meV/atom.

It has space group Pm-3m (No. 221), with a = 4.9370 Å, b = 4.9370 Å, c = 4.9370 Å, α = 90.00°, β = 90.00° and γ = 90.00°. The inequivalent atoms are Ba at (0.0000, 0.0000, 0.0000), Zn at (0.0000, 0.5000, 0.5000) and Pt at (0.5000, 0.5000, 0.5000).



Computed, not measured: AlTlAgAu after structural relaxation at the PBE level of DFT.

The value obtained for the total DFT energy (no corrections) is -47.1 eV for the cell shown. Its energy above the most stable polymorph in this dataset is 0 meV/atom.

It has space group F-43m (No. 216), with a = 6.8731 Å, b = 6.8731 Å, c = 6.8731 Å, α = 90.00°, β = 90.00° and γ = 90.00°. The inequivalent atoms are Al at (0.0000, 0.0000, 0.0000), Tl at (0.2500, 0.2500, 0.7500), Ag at (0.0000, 0.0000, 0.5000) and Au at (0.2500, 0.2500, 0.2500).



Computed, not measured: Li2Mg2In2CuIr after structural relaxation at the PBE level of DFT.

For the total moment, the calculation gives 0.00 Bohr magnetons per cell. The value obtained for the total DFT energy (no corrections) is -27.4 eV for the cell shown.

It has space group P-4m2 (No. 115), with a = 4.5481 Å, b = 4.5481 Å, c = 6.4262 Å, α = 90.00°, β = 90.00° and γ = 90.00°. The inequivalent atoms are Li at (0.0000, 0.0000, 0.0000), Li at (0.5000, 0.5000, 0.5000), Mg at (0.0000, 0.5000, 0.2428), In at (0.0000, 0.5000, 0.7494), Cu at (0.0000, 0.0000, 0.5000) and Ir at (0.5000, 0.5000, 0.0000).



Computed, not measured: SmGd2Cu4Ge4 after structural relaxation at the PBE level of DFT.

For the total moment, the calculation gives 0.00 Bohr magnetons per cell. The value obtained for the total DFT energy (no corrections) is -108.7 eV for the cell shown.

It has space group Immm (No. 71), with a = 4.2394 Å, b = 6.7143 Å, c = 14.0824 Å, α = 90.00°, β = 90.00° and γ = 90.00°. The inequivalent atoms are Sm at (0.0000, 0.0000, 0.0000), Gd at (0.0000, 0.5000, 0.1308), Cu at (0.0000, 0.3110, 0.3314), Ge at (0.0000, 0.0000, 0.2173) and Ge at (0.0000, 0.1892, 0.5000).



Computed, not measured: CdFeBiW after structural relaxation at the PBE level of DFT.

For the total moment, the calculation gives 2.28 Bohr magnetons per cell. The value obtained for the total DFT energy (no corrections) is -87.5 eV for the cell shown. Its energy above the most stable polymorph in this dataset is 103 meV/atom.

It has space group F-43m (No. 216), with a = 6.7581 Å, b = 6.7581 Å, c = 6.7581 Å, α = 90.00°, β = 90.00° and γ = 90.00°. The inequivalent atoms are Cd at (0.0000, 0.0000, 0.0000), Fe at (0.0000, 0.0000, 0.5000), Bi at (0.2500, 0.2500, 0.2500) and W at (0.2500, 0.2500, 0.7500).



Computed, not measured: PrH after structural relaxation at the PBE level of DFT.

For the total moment, the calculation gives 0.00 Bohr magnetons per cell. The value obtained for the total DFT energy (no corrections) is -17.0 eV for the cell shown.

It has space group Amm2 (No. 38), with a = 3.4052 Å, b = 3.4606 Å, c = 5.9763 Å, α = 90.00°, β = 90.00° and γ = 90.00°. The inequivalent atoms are Pr at (0.0000, 0.0000, 0.0000) and H at (0.5000, 0.0000, 0.6668).



Computed, not measured: CsPrSnSe3 after structural relaxation at the PBE level of DFT.

For the total moment, the calculation gives 0.02 Bohr magnetons per cell. The value obtained for the total DFT energy (no corrections) is -108.9 eV for the cell shown. Its energy above the most stable polymorph in this dataset is 79 meV/atom.

It has space group Cmcm (No. 63), with a = 4.3196 Å, b = 16.9296 Å, c = 12.3402 Å, α = 90.00°, β = 90.00° and γ = 90.00°. The inequivalent atoms are Cs at (0.0000, 0.2013, 0.2500), Pr at (0.0000, 0.5000, 0.0000), Sn at (0.0000, 0.0989, 0.7500), Se at (0.0000, 0.1191, 0.5165) and Se at (0.0000, 0.4908, 0.7500).



Computed, not measured: LiCoBiW after structural relaxation at the PBE level of DFT.

For the total moment, the calculation gives 8.06 Bohr magnetons per cell. The value obtained for the total DFT energy (no corrections) is -90.4 eV for the cell shown. Its energy above the most stable polymorph in this dataset is 223 meV/atom.

It has space group F-43m (No. 216), with a = 6.3837 Å, b = 6.3837 Å, c = 6.3837 Å, α = 90.00°, β = 90.00° and γ = 90.00°. The inequivalent atoms are Li at (0.0000, 0.0000, 0.0000), Co at (0.2500, 0.2500, 0.7500), Bi at (0.0000, 0.0000, 0.5000) and W at (0.2500, 0.2500, 0.2500).



Computed, not measured: LuScSn after structural relaxation at the PBE level of DFT.

For the total moment, the calculation gives 0.17 Bohr magnetons per cell. The value obtained for the total DFT energy (no corrections) is -63.2 eV for the cell shown. Its energy above the most stable polymorph in this dataset is 0 meV/atom.

It has space group F-43m (No. 216), with a = 6.9656 Å, b = 6.9656 Å, c = 6.9656 Å, α = 90.00°, β = 90.00° and γ = 90.00°. The inequivalent atoms are Lu at (0.0000, 0.0000, 0.0000), Sc at (0.0000, 0.0000, 0.5000) and Sn at (0.2500, 0.2500, 0.2500).



Computed, not measured: GdTcB4 after structural relaxation at the PBE level of DFT.

For the total moment, the calculation gives 0.04 Bohr magnetons per cell. The value obtained for the total DFT energy (no corrections) is -43.8 eV for the cell shown. Its energy above the most stable polymorph in this dataset is 0 meV/atom.

It has space group P6/mmm (No. 191), with a = 3.1581 Å, b = 3.1581 Å, c = 7.0702 Å, α = 90.00°, β = 90.00° and γ = 120.00°. The inequivalent atoms are Gd at (0.0000, 0.0000, 0.0000), Tc at (0.0000, 0.0000, 0.5000) and B at (0.3333, 0.6667, 0.2802).



Computed, not measured: SrU2Se5 after structural relaxation at the PBE level of DFT.

For the total moment, the calculation gives 16.01 Bohr magnetons per cell. The value obtained for the total DFT energy (no corrections) is -205.8 eV for the cell shown.

It has space group Pnma (No. 62), with a = 12.8114 Å, b = 8.2160 Å, c = 7.7721 Å, α = 90.00°, β = 90.00° and γ = 90.00°. The inequivalent atoms are Sr at (0.0060, 0.2500, 0.0829), U at (0.1823, 0.0000, 0.5059), Se at (0.0018, 0.2500, 0.4813), Se at (0.1199, 0.5487, 0.1650), Se at (0.1834, 0.2500, 0.8184) and Se at (0.2181, 0.7500, 0.7868).